Entry from the Alexandria database: an optimized crystal structure of Sm2CoSi3Pt4 (GGA-PBE).

POSCAR file:
```
Sm2CoSi3Pt4
1.0
4.228 0.000 0.000
0.000 4.228 0.000
0.000 0.000 9.914
Si Pt Sm Co
3 4 2 1
Direct
0.000 0.500 0.132
0.000 0.000 0.500
0.500 0.000 0.868
0.000 0.000 0.000
0.500 0.500 0.000
0.500 0.000 0.629
0.000 0.500 0.371
0.000 0.500 0.743
0.500 0.000 0.257
0.500 0.500 0.500
```

Summary:
V in Å³ per cell: 177
D(E_F) in states/eV/atom: 0.80
Energy in eV per atom: -6.662